[1]
# Li3CdCu

A geometry-optimized Li3CdCu structure (GGA-PBE, the Alexandria database).

Cell lengths 4.910, 4.910, 4.910 Å; angles 90.00, 90.00, 90.00 degrees
Space group Pm-3m (No. 221)
One atom of each set of equivalent atoms:
Li1 0.000 0.000 0.500 (multiplicity 3)
Cd1 0.000 0.000 0.000 (multiplicity 1)
Cu1 0.500 0.500 0.500 (multiplicity 1)

Calculated values
DFT total energy = -1.67 eV/atom
Energy relative to the elements = 0.48 eV per atom

[2]
# HfInN3

A geometry-optimized HfInN3 structure (GGA-PBE, the Alexandria database).

Cell lengths 4.016, 4.016, 4.016 Å; angles 90.00, 90.00, 90.00 degrees
Space group Pm-3m (No. 221)
One atom of each set of equivalent atoms:
Hf1 0.000 0.000 0.000 (multiplicity 1)
In1 0.500 0.500 0.500 (multiplicity 1)
N1 0.000 0.500 0.500 (multiplicity 3)

Calculated values
DFT total energy = -6.32 eV/atom

[3]
# RbSr2IrPt

A geometry-optimized RbSr2IrPt structure (GGA-PBE, the Alexandria database).

Cell lengths 5.982, 5.982, 4.779 Å; angles 90.00, 90.00, 90.00 degrees
Space group P4/mmm (No. 123)
One atom of each set of equivalent atoms:
Rb1 0.000 0.000 0.000 (multiplicity 1)
Sr1 0.000 0.500 0.000 (multiplicity 2)
Ir1 0.000 0.000 0.500 (multiplicity 1)
Pt1 0.500 0.500 0.500 (multiplicity 1)

Calculated values
DFT total energy = -2.50 eV/atom
Energy relative to the elements = 1.35 eV per atom

[4]
# K2NdRe3O12

A geometry-optimized K2NdRe3O12 structure (GGA-PBE, the Alexandria database).

Cell lengths 7.4498, 7.4498, 18.4290 Å; angles 90.00, 90.00, 120.00 degrees
Space group R-3m (No. 166, hexagonal axes)
One atom of each set of equivalent atoms:
K1 0.0000 0.0000 0.1328 (multiplicity 6)
Nd1 0.0000 0.0000 0.5000 (multiplicity 3)
Re1 0.0000 0.5000 0.0000 (multiplicity 9)
O1 0.0177 0.5089 0.1008 (multiplicity 18)
O2 0.0871 0.5436 0.3377 (multiplicity 18)

Calculated values
DFT total energy = -7.64 eV/atom

[5]
# Ho2FeRu3

A geometry-optimized Ho2FeRu3 structure (GGA-PBE, the Alexandria database).

Cell lengths 5.3282, 5.3282, 8.4851 Å; angles 90.00, 90.00, 120.00 degrees
Space group P6_3/mmc (No. 194)
One atom of each set of equivalent atoms:
Ho1 0.3333 0.6667 0.0664 (multiplicity 4)
Fe1 0.0000 0.0000 0.0000 (multiplicity 2)
Ru1 0.1698 0.3396 0.7500 (multiplicity 6)

Calculated values
DFT total energy = -7.86 eV/atom
Energy relative to the elements = -0.29 eV per atom

[6]
# PmErTcHg

A geometry-optimized PmErTcHg structure (GGA-PBE, the Alexandria database).

Cell lengths 7.186, 7.186, 7.186 Å; angles 90.00, 90.00, 90.00 degrees
Space group F-43m (No. 216)
One atom of each set of equivalent atoms:
Pm1 0.000 0.000 0.000 (multiplicity 4)
Er1 0.000 0.000 0.500 (multiplicity 4)
Tc1 0.250 0.250 0.750 (multiplicity 4)
Hg1 0.250 0.250 0.250 (multiplicity 4)

Calculated values
DFT total energy = -5.10 eV/atom
Energy relative to the elements = -0.11 eV per atom